(1)
Computed, not measured: MnZnAgIr after structural relaxation at the GGA-PBE level of DFT.

Calculated values
Its formation energy is 0.0054 eV/atom. Its uncorrected energy is -5.534 eV per atom.

Cell lengths 4.394, 4.394, 4.394 Å; angles 60.00, 60.00, 60.00 degrees
Site moments in Bohr magnetons follow the coordinates.
Fractional positions:
Zn 0.500 0.500 0.500  -0.01
Ag 0.250 0.250 0.250  0.05
Mn 0.000 0.000 0.000  3.68
Ir 0.750 0.750 0.750  0.20

***

(2)
Computed, not measured: Tb3CdAg after structural relaxation at the GGA-PBE level of DFT.

Calculated values
Its distance to the lowest polymorph of the same formula is 14.41 kJ per mole of atoms. Its formation energy is -0.0745 eV/atom. Its uncorrected energy is -3.606 eV per atom.

Cell lengths 6.656, 6.656, 15.860 Å; angles 72.34, 72.34, 56.24 degrees
Fractional positions:
Tb 0.061 0.442 0.901
Tb 0.895 0.168 0.400
Tb 0.558 0.939 0.599
Tb 0.030 0.639 0.287
Tb 0.168 0.895 0.900
Tb 0.442 0.061 0.401
Tb 0.970 0.361 0.713
Tb 0.939 0.558 0.099
Tb 0.832 0.105 0.100
Tb 0.639 0.030 0.787
Tb 0.105 0.832 0.600
Tb 0.361 0.970 0.213
Cd 0.632 0.380 0.589
Cd 0.380 0.632 0.089
Cd 0.368 0.620 0.411
Cd 0.620 0.368 0.911
Ag 0.000 0.500 0.500
Ag 0.500 0.000 0.000
Ag 0.377 0.623 0.750
Ag 0.623 0.377 0.250